VASP calculation (GGA-PBE) on Cu2ReCl after structural relaxation.

Geometry as CIF:
```
data_Cu2ReCl
_space_group_name_H-M_alt 'F -4 3 m'
_space_group_IT_number 216
_space_group_name_Hall 'F -4 2 3'
_cell_length_a 6.067
_cell_length_b 6.067
_cell_length_c 6.067
_cell_angle_alpha 90.00
_cell_angle_beta 90.00
_cell_angle_gamma 90.00
loop_
_atom_site_label
_atom_site_type_symbol
_atom_site_fract_x
_atom_site_fract_y
_atom_site_fract_z
_atom_site_occupancy
Cu1 Cu 0.000 0.000 0.000 1
Cu2 Cu 0.250 0.250 0.250 1
Re1 Re 0.250 0.250 0.750 1
Cl1 Cl 0.000 0.000 0.500 1
```

Computed properties:
E above lowest polymorph (meV/atom): 722
Crystal system: cubic

VASP calculation (GGA-PBE) on AsOsO3 after structural relaxation.

Geometry as CIF:
```
data_AsOsO3
_space_group_name_H-M_alt 'P m -3 m'
_space_group_IT_number 221
_space_group_name_Hall '-P 4 2 3'
_cell_length_a 3.864
_cell_length_b 3.864
_cell_length_c 3.864
_cell_angle_alpha 90.00
_cell_angle_beta 90.00
_cell_angle_gamma 90.00
loop_
_atom_site_label
_atom_site_type_symbol
_atom_site_fract_x
_atom_site_fract_y
_atom_site_fract_z
_atom_site_occupancy
As1 As 0.000 0.000 0.000 1
Os1 Os 0.500 0.500 0.500 1
O1 O 0.000 0.000 0.500 1
```

Computed properties:
Energy (eV per cell): -28.23
Crystal system: cubic

VASP calculation (GGA-PBE) on CeYZnRh after structural relaxation.

Geometry as CIF:
```
data_CeYZnRh
_space_group_name_H-M_alt 'F -4 3 m'
_space_group_IT_number 216
_space_group_name_Hall 'F -4 2 3'
_cell_length_a 7.068
_cell_length_b 7.068
_cell_length_c 7.068
_cell_angle_alpha 90.00
_cell_angle_beta 90.00
_cell_angle_gamma 90.00
loop_
_atom_site_label
_atom_site_type_symbol
_atom_site_fract_x
_atom_site_fract_y
_atom_site_fract_z
_atom_site_occupancy
Ce1 Ce 0.000 0.000 0.000 1
Y1 Y 0.000 0.000 0.500 1
Zn1 Zn 0.250 0.250 0.250 1
Rh1 Rh 0.250 0.250 0.750 1
```

Computed properties:
Formation enthalpy at 0 K (meV per atom): -483
Crystal system: cubic

VASP calculation (GGA-PBE) on Ta4PtC2 after structural relaxation.

Geometry as CIF:
```
data_Ta4PtC2
_space_group_name_H-M_alt 'C m c m'
_space_group_IT_number 63
_space_group_name_Hall '-C 2c 2'
_cell_length_a 3.229
_cell_length_b 10.854
_cell_length_c 11.384
_cell_angle_alpha 90.00
_cell_angle_beta 90.00
_cell_angle_gamma 90.00
loop_
_atom_site_label
_atom_site_type_symbol
_atom_site_fract_x
_atom_site_fract_y
_atom_site_fract_z
_atom_site_occupancy
Ta1 Ta 0.000 0.000 0.000 1
Ta2 Ta 0.000 0.260 0.104 1
Ta3 Ta 0.000 0.413 0.750 1
Pt1 Pt 0.000 0.109 0.750 1
C1 C 0.000 0.367 0.561 1
```

Computed properties:
Formation enthalpy at 0 K (meV per atom): -598
Crystal system: orthorhombic

VASP calculation (GGA-PBE) on CuSnBr2 after structural relaxation.

Geometry as CIF:
```
data_CuSnBr2
_space_group_name_H-M_alt 'R -3 m'
_space_group_IT_number 166
_space_group_name_Hall '-R 3 2"'
_cell_length_a 3.6985
_cell_length_b 3.6985
_cell_length_c 26.7344
_cell_angle_alpha 90.00
_cell_angle_beta 90.00
_cell_angle_gamma 120.00
loop_
_atom_site_label
_atom_site_type_symbol
_atom_site_fract_x
_atom_site_fract_y
_atom_site_fract_z
_atom_site_occupancy
Cu1 Cu 0.0000 0.0000 0.0000 1
Sn1 Sn 0.0000 0.0000 0.5000 1
Br1 Br 0.0000 0.0000 0.3897 1
```

Computed properties:
E above lowest polymorph (meV/atom): 0
Crystal system: trigonal

VASP calculation (GGA-PBE) on MgZn2TcN after structural relaxation.

Geometry as CIF:
```
data_MgZn2TcN
_space_group_name_H-M_alt 'P 4/m m m'
_space_group_IT_number 123
_space_group_name_Hall '-P 4 2'
_cell_length_a 4.999
_cell_length_b 4.999
_cell_length_c 3.772
_cell_angle_alpha 90.00
_cell_angle_beta 90.00
_cell_angle_gamma 90.00
loop_
_atom_site_label
_atom_site_type_symbol
_atom_site_fract_x
_atom_site_fract_y
_atom_site_fract_z
_atom_site_occupancy
Mg1 Mg 0.000 0.000 0.000 1
Zn1 Zn 0.000 0.500 0.500 1
Tc1 Tc 0.500 0.500 0.500 1
N1 N 0.500 0.500 0.000 1
```

Computed properties:
Energy (eV per cell): -20.77
Crystal system: tetragonal

VASP calculation (GGA-PBE) on HoTi2Ga6 after structural relaxation.

Geometry as CIF:
```
data_HoTi2Ga6
_space_group_name_H-M_alt 'I m m m'
_space_group_IT_number 71
_space_group_name_Hall '-I 2 2'
_cell_length_a 4.063
_cell_length_b 6.638
_cell_length_c 12.384
_cell_angle_alpha 90.00
_cell_angle_beta 90.00
_cell_angle_gamma 90.00
loop_
_atom_site_label
_atom_site_type_symbol
_atom_site_fract_x
_atom_site_fract_y
_atom_site_fract_z
_atom_site_occupancy
Ho1 Ho 0.000 0.000 0.000 1
Ti1 Ti 0.000 0.500 0.116 1
Ga1 Ga 0.000 0.184 0.500 1
Ga2 Ga 0.000 0.297 0.308 1
```

Computed properties:
Formation enthalpy at 0 K (meV per atom): -366
Crystal system: orthorhombic

VASP calculation (GGA-PBE) on KNa2HgI4 after structural relaxation.

Geometry as CIF:
```
data_KNa2HgI4
_space_group_name_H-M_alt 'C m c m'
_space_group_IT_number 63
_space_group_name_Hall '-C 2c 2'
_cell_length_a 5.421
_cell_length_b 15.216
_cell_length_c 15.788
_cell_angle_alpha 90.00
_cell_angle_beta 90.00
_cell_angle_gamma 90.00
loop_
_atom_site_label
_atom_site_type_symbol
_atom_site_fract_x
_atom_site_fract_y
_atom_site_fract_z
_atom_site_occupancy
K1 K 0.000 0.142 0.250 1
Na1 Na 0.000 0.376 0.050 1
Hg1 Hg 0.000 0.108 0.750 1
I1 I 0.000 0.000 0.000 1
I2 I 0.000 0.265 0.616 1
I3 I 0.000 0.454 0.250 1
```

Computed properties:
Energy (eV per cell): -71.15
Crystal system: orthorhombic

Which formula does entry 7 have?
HoTi2Ga6